Entry 1:
# ZnHg2Br, PBEsol geometry, DFT meta-GGA SCAN
# excess energy over the best structure of this formula in the dataset: 41 meV per atom
# energy relative to the elements, uncorrected: -49 kJ/mol of formula units
data_ZnHg2Br
_chemical_formula_sum 'Zn2 Hg4 Br2'
_space_group_name_H-M_alt 'C m m 2'
_space_group_IT_number 35
_cell_length_a 3.765
_cell_length_b 5.951
_cell_length_c 8.573
_cell_angle_alpha 90.00
_cell_angle_beta 90.00
_cell_angle_gamma 90.00
loop_
_space_group_symop_operation_xyz
'x,y,z'
'-x,-y,z'
'-x,y,z'
'x,-y,z'
'x+1/2,y+1/2,z'
'-x+1/2,-y+1/2,z'
'-x+1/2,y+1/2,z'
'x+1/2,-y+1/2,z'
loop_
_atom_site_label
_atom_site_fract_x
_atom_site_fract_y
_atom_site_fract_z
Zn1 0.000 0.000 0.000
Hg1 0.000 0.000 0.485
Hg2 0.000 0.500 0.220
Br1 0.000 0.500 0.801

Entry 2:
# ReWCl2, PBEsol geometry, DFT meta-GGA SCAN
# excess energy over the best structure of this formula in the dataset: 629 meV per atom
# energy relative to the elements, uncorrected: 156 kJ/mol of formula units
data_ReWCl2
_chemical_formula_sum 'Re2 W2 Cl4'
_space_group_name_H-M_alt 'C 1 2/m 1'
_space_group_IT_number 12
_cell_length_a 12.288
_cell_length_b 2.939
_cell_length_c 4.414
_cell_angle_alpha 90.00
_cell_angle_beta 96.48
_cell_angle_gamma 90.00
loop_
_space_group_symop_operation_xyz
'x,y,z'
'-x,-y,-z'
'-x,y,-z'
'x,-y,z'
'x+1/2,y+1/2,z'
'-x+1/2,-y+1/2,-z'
'-x+1/2,y+1/2,-z'
'x+1/2,-y+1/2,z'
loop_
_atom_site_label
_atom_site_fract_x
_atom_site_fract_y
_atom_site_fract_z
Re1 0.000 0.000 0.000
W1 0.000 0.500 0.500
Cl1 0.155 0.000 0.720

Entry 3:
# Sb2PtAu, PBEsol geometry, DFT meta-GGA SCAN
# energy relative to the elements, uncorrected: -120 kJ/mol of formula units
data_Sb2PtAu
_chemical_formula_sum 'Sb6 Pt3 Au3'
_space_group_name_H-M_alt 'R -3 m'
_space_group_IT_number 166
_space_group_name_Hall '-R 3 2"'
_cell_length_a 3.8918
_cell_length_b 3.8918
_cell_length_c 19.7372
_cell_angle_alpha 90.00
_cell_angle_beta 90.00
_cell_angle_gamma 120.00
loop_
_atom_site_label
_atom_site_fract_x
_atom_site_fract_y
_atom_site_fract_z
Sb1 0.0000 0.0000 0.2429
Pt1 0.0000 0.0000 0.5000
Au1 0.0000 0.0000 0.0000